DFT (GGA-PBE) results for a relaxed CeTiPd6 crystal.

a = 4.059 Å, b = 4.059 Å, c = 8.053 Å
α = 90.00°, β = 90.00°, γ = 90.00°
Site moments in Bohr magnetons follow the coordinates.
Fractional positions:
Ce 0.000 0.000 0.000  0.45
Ti 0.000 0.000 0.500  0.02
Pd 0.500 0.500 0.000  -0.01
Pd 0.500 0.500 0.500  0.00
Pd 0.500 0.000 0.267  -0.01
Pd 0.500 0.000 0.733  -0.01
Pd 0.000 0.500 0.267  -0.01
Pd 0.000 0.500 0.733  -0.01

Calculated values
- ΔH_f (0 K) (eV/atom) = -0.706
- SG = P4/mmm
- total moment (μB per formula unit) = 0.45
- D(E_F) (states/eV/atom) = 0.66

DFT (GGA-PBE) results for a relaxed Cr3HgI crystal.

a = 5.241 Å, b = 5.241 Å, c = 5.241 Å
α = 90.00°, β = 90.00°, γ = 90.00°
Site moments in Bohr magnetons follow the coordinates.
Fractional positions:
I 0.500 0.500 0.500  -0.02
Cr 0.000 0.500 0.000  3.97
Cr 0.000 0.000 0.500  4.08
Cr 0.500 0.000 0.000  3.79
Hg 0.000 0.000 0.000  0.05

Calculated values
- SG = Pm-3m
- relative energy among the computed polymorphs (meV per atom) = 0
- energy relative to the elements, uncorrected (eV/atom) = 1.2361
- total moment (μB per formula unit) = 13.44
- D(E_F) (states/eV/atom) = 0.72

DFT (GGA-PBE) results for a relaxed SrAc4Sn15 crystal.

a = 4.889 Å, b = 4.889 Å, c = 24.895 Å
α = 90.00°, β = 90.00°, γ = 90.00°
Fractional positions:
Sr 0.000 0.000 0.000
Ac 0.000 0.000 0.199
Ac 0.000 0.000 0.399
Ac 0.000 0.000 0.601
Ac 0.000 0.000 0.801
Sn 0.500 0.500 0.000
Sn 0.500 0.500 0.198
Sn 0.500 0.500 0.400
Sn 0.500 0.500 0.600
Sn 0.500 0.500 0.802
Sn 0.500 0.000 0.098
Sn 0.500 0.000 0.299
Sn 0.500 0.000 0.500
Sn 0.500 0.000 0.701
Sn 0.500 0.000 0.902
Sn 0.000 0.500 0.098
Sn 0.000 0.500 0.299
Sn 0.000 0.500 0.500
Sn 0.000 0.500 0.701
Sn 0.000 0.500 0.902

Calculated values
- ΔH_f (0 K) (eV/atom) = -0.480
- SG = P4/mmm
- total moment (μB per formula unit) = 0.00
- D(E_F) (states/eV/atom) = 0.51

Question: Which formula does entry 2 have?
Answer: Cr3HgI

Question: What is the total moment in the first record?
Answer: 0.45 μB per formula unit

Question: What is the D(E_F) in the first record?
Answer: 0.66 states/eV/atom